The following is a GGA-PBE calculation of crystalline CeSm15Tm4 at its relaxed geometry, from the Alexandria database.

Values from the calculation:
energy of formation from the pure elements	0.58	eV per formula unit
total magnetic moment	1.08	Bohr magnetons per cell
DFT total energy	-94.0	eV/cell

Cell: 5.0883 5.0883 25.4165 Å, 90.00 90.00 90.00°
With the nearest neighbours (Å) after each atom.
Element x y z (fractional)
Ce: 0.0000 0.0000 0.0000  12 Sm 3.60
Sm: 0.0000 0.5000 0.1000  2 Ce 3.60, 8 Sm 3.60-3.63, 2 Tm 3.60
Sm: 0.0000 0.5000 0.3002  8 Sm 3.56-3.60, 4 Tm 3.59-3.60
Sm: 0.0000 0.5000 0.5000  8 Sm 3.59-3.60, 4 Tm 3.59
Sm: 0.0000 0.5000 0.6998  8 Sm 3.56-3.60, 4 Tm 3.59-3.60
Sm: 0.0000 0.5000 0.9000  2 Ce 3.60, 8 Sm 3.60-3.63, 2 Tm 3.60
Sm: 0.5000 0.0000 0.1000  2 Ce 3.60, 8 Sm 3.60-3.63, 2 Tm 3.60
Sm: 0.5000 0.0000 0.3002  8 Sm 3.56-3.60, 4 Tm 3.59-3.60
Sm: 0.5000 0.0000 0.5000  8 Sm 3.59-3.60, 4 Tm 3.59
Sm: 0.5000 0.0000 0.6998  8 Sm 3.56-3.60, 4 Tm 3.59-3.60
Sm: 0.5000 0.0000 0.9000  2 Ce 3.60, 8 Sm 3.60-3.63, 2 Tm 3.60
Sm: 0.5000 0.5000 0.0000  8 Sm 3.60, 4 Ce 3.60
Sm: 0.5000 0.5000 0.2020  8 Sm 3.56-3.63, 4 Tm 3.60
Sm: 0.5000 0.5000 0.4004  8 Sm 3.59-3.60, 4 Tm 3.60
Sm: 0.5000 0.5000 0.5996  8 Sm 3.59-3.60, 4 Tm 3.60
Sm: 0.5000 0.5000 0.7980  8 Sm 3.56-3.63, 4 Tm 3.60
Tm: 0.0000 0.0000 0.2004  12 Sm 3.59-3.60
Tm: 0.0000 0.0000 0.4002  12 Sm 3.59-3.60
Tm: 0.0000 0.0000 0.5998  12 Sm 3.59-3.60
Tm: 0.0000 0.0000 0.7996  12 Sm 3.59-3.60